PBE CdGaCoMo2, relaxed; VASP energy = -5.7100 eV/atom; total moment = 0.000 μB per formula unit; calculated volume = 18.1 A^3/atom
1.0
-3.7856 -1.0235 -2.2542
2.2856 -2.8008 -2.5668
-0.8315 -3.3537 2.9191
Mo Co Ga Cd
2 1 1 1
Direct
0.0000 0.0000 0.5000
0.5000 0.0000 0.0000
0.0000 0.0000 0.0000
0.0000 0.5000 0.0000
0.5000 0.5000 0.5000